Computed, not measured: an optimized crystal structure of Mn5Co6Tc at the PBE level of DFT.

Cell lengths 4.3344, 4.9749, 6.5934 Å; angles 67.82, 90.49, 89.99 degrees
Fractional positions:
1 Co 0.8309 0.5792 0.3372
2 Co 0.5000 0.2550 0.0000
3 Co 0.1691 0.9163 0.6629
4 Co 0.1691 0.4208 0.6628
5 Co 0.5000 0.7450 0.0000
6 Co 0.8309 0.0837 0.3371
7 Mn 0.3371 0.8326 0.3346
8 Mn 0.0000 0.5000 0.0000
9 Mn 0.6676 0.6663 0.6674
10 Mn 0.6629 0.1674 0.6654
11 Mn 0.3324 0.3337 0.3326
12 Tc 0.0000 0.0000 0.0000

Output
The value obtained for the volume is 11.0 Å³/atom.

=====

Computed, not measured: an optimized crystal structure of Mn2CoTc at the PBE level of DFT.

Cell lengths 8.4092, 8.4092, 8.4092 Å; angles 17.61, 17.61, 17.61 degrees
Fractional positions:
1 Mn 0.0036 0.0036 0.0036
2 Mn 0.4964 0.4964 0.4964
3 Co 0.7500 0.7500 0.7500
4 Tc 0.2500 0.2500 0.2500

Output
The value obtained for the volume is 11.9 Å³/atom.

=====

Computed, not measured: an optimized crystal structure of MnCoTc at the PBE level of DFT.

Cell lengths 5.7834, 5.7834, 2.5853 Å; angles 77.09, 77.08, 25.83 degrees
Fractional positions:
1 Mn 0.3398 0.3398 0.6602
2 Tc 0.6623 0.6623 0.3377
3 Co 0.9979 0.9979 0.0021

Output
The value obtained for the volume is 12.2 Å³/atom.

=====

Computed, not measured: an optimized crystal structure of Mn2CoTc at the PBE level of DFT.

Cell lengths 4.0480, 2.5562, 4.8699 Å; angles 80.38, 90.00, 90.00 degrees
Fractional positions:
1 Mn 0.0000 0.5147 0.5072
2 Mn 0.0000 0.9853 0.9928
3 Co 0.5000 0.7500 0.7500
4 Tc 0.5000 0.2500 0.2500

Output
The value obtained for the volume is 12.4 Å³/atom.

=====

Computed, not measured: an optimized crystal structure of Mn2CoTc at the PBE level of DFT.

Cell lengths 3.5941, 2.5968, 5.8025 Å; angles 63.40, 90.00, 90.00 degrees
Fractional positions:
1 Co 0.5000 0.7480 0.7519
2 Mn 0.0000 0.9986 0.0019
3 Mn 0.5000 0.2650 0.2347
4 Tc 0.0000 0.4884 0.5114

Output
The value obtained for the volume is 12.1 Å³/atom.

=====

Computed, not measured: an optimized crystal structure of Mn2CoTc at the PBE level of DFT.

Cell lengths 2.9149, 2.9149, 5.9226 Å; angles 90.00, 90.00, 90.00 degrees
Fractional positions:
1 Mn 0.0000 0.0000 0.5131
2 Mn 0.0000 0.0000 0.9869
3 Co 0.5000 0.5000 0.7500
4 Tc 0.5000 0.5000 0.2500

Output
The value obtained for the volume is 12.6 Å³/atom.

=====

Computed, not measured: an optimized crystal structure of Mn2CoTc at the PBE level of DFT.

Cell lengths 3.5104, 3.5104, 8.6038 Å; angles 78.23, 78.23, 90.00 degrees
Fractional positions:
1 Tc 0.0000 0.0000 0.0000
2 Tc 0.7500 0.2500 0.5000
3 Mn 0.3750 0.4304 0.7500
4 Mn 0.1804 0.6250 0.2500
5 Mn 0.8750 0.8196 0.7500
6 Mn 0.5696 0.1250 0.2500
7 Co 0.5000 0.5000 0.0000
8 Co 0.2500 0.7500 0.5000

Output
The value obtained for the volume is 12.7 Å³/atom.

=====

Computed, not measured: an optimized crystal structure of MnCoTc at the PBE level of DFT.

Cell lengths 3.9599, 3.9599, 3.9599 Å; angles 60.00, 60.00, 60.00 degrees
Fractional positions:
1 Co 0.7500 0.7500 0.7500
2 Tc 0.5000 0.5000 0.5000
3 Mn 0.0000 0.0000 0.0000

Output
The value obtained for the volume is 14.6 Å³/atom.

=====

Computed, not measured: an optimized crystal structure of Mn2CoTc at the PBE level of DFT.

Cell lengths 4.4333, 4.4333, 2.5804 Å; angles 90.00, 90.00, 109.19 degrees
Fractional positions:
1 Mn 0.5000 0.5000 0.0000
2 Mn 0.0000 0.0000 0.0000
3 Co 0.0000 0.5000 0.5000
4 Tc 0.5000 0.0000 0.5000

Output
The value obtained for the volume is 12.0 Å³/atom.

=====

Computed, not measured: an optimized crystal structure of Mn2CoTc at the PBE level of DFT.

Cell lengths 4.4482, 4.4482, 4.4747 Å; angles 80.14, 80.14, 33.94 degrees
Fractional positions:
1 Tc 0.5018 0.5018 0.4842
2 Mn 0.7460 0.7460 0.7698
3 Mn 0.9999 0.9999 0.9920
4 Co 0.2523 0.2523 0.2540

Output
The value obtained for the volume is 12.2 Å³/atom.

=====

Computed, not measured: an optimized crystal structure of Mn2CoTc at the PBE level of DFT.

Cell lengths 4.8577, 4.8577, 4.8577 Å; angles 144.42, 130.83, 62.16 degrees
Fractional positions:
1 Mn 0.7504 0.2504 0.5000
2 Mn 0.0028 0.0028 0.0000
3 Co 0.2457 0.7457 0.5000
4 Tc 0.5010 0.5010 0.0000

Output
The value obtained for the volume is 12.5 Å³/atom.

=====

Computed, not measured: an optimized crystal structure of UMnCoTc at the PBE level of DFT.

Cell lengths 4.4301, 4.4301, 4.4301 Å; angles 60.00, 60.00, 60.00 degrees
Fractional positions:
1 Co 0.7500 0.7500 0.7500
2 U 0.0000 0.0000 0.0000
3 Tc 0.2500 0.2500 0.2500
4 Mn 0.5000 0.5000 0.5000

Output
The value obtained for the volume is 15.4 Å³/atom.

=====

no.,E_form (eV/atom)
1,0.06
2,0.19
3,0.10
4,0.14
5,0.05
6,0.00
7,0.60
8,0.51
9,0.13
10,0.09
11,0.10
12,0.10